Below is an optimized crystal structure of Ba7Cl2F12, with properties calculated at the GGA-PBEsol level.

```
21
Lattice="10.6043 0.0000 0.0000 -5.3022 9.1836 0.0000 0.0000 0.0000 4.1428" Properties=species:S:1:pos:R:3 pbc="T T T"
Ba 0.0000 0.0000 0.0000
Ba -2.5737 6.5387 2.0714
Ba 0.9263 3.6854 2.0714
Ba 3.7697 1.0206 0.0000
Ba 1.6474 8.1431 2.0714
Ba 4.3012 5.4087 0.0000
Ba 7.8356 2.7543 0.0000
Cl 0.0000 6.1224 0.0000
Cl 5.3022 3.0612 2.0714
F -1.7817 4.0153 2.0714
F -0.1898 2.5451 0.0000
F -3.0031 8.0755 0.0000
F 1.6619 1.0867 2.0714
F -0.9340 8.7189 2.0714
F 2.6114 3.3858 0.0000
F 2.7156 5.6330 2.0714
F 6.3665 0.5687 0.0000
F 3.1930 7.7467 0.0000
F 8.8323 0.8959 2.0714
F 5.4123 7.2010 2.0714
F 6.9286 5.2292 0.0000
```

Properties
As for the density of states at the Fermi level: 0.0 states/eV per cell. The value obtained for the uncorrected formation energy is -3694 meV/atom. The energy is -0.210 hartree per atom. The total moment is 0.006 μB/atom. Its space group is No. 174. As for the volume: 403 Å³/f.u.